The following is a DFT calculation (GGA-PBE) of an optimized crystal structure of BeCrIr2.

```
BeCrIr2
1.0
-1.3187 -0.0249 -2.2908
1.7965 -1.9065 0.3538
-5.7882 -4.8262 3.3843
Ir Be Cr
2 1 1
Direct
0.0000 0.0000 0.9840
0.5000 0.5000 0.2825
0.0000 0.0000 0.5006
0.5000 0.5000 0.7329
```

Formation enthalpy at 0 K, eV/atom: 0.147